Record 1
The following is a GGA-PBE calculation of an optimized crystal structure of AlTeSN2, from Alexandria.

abc: 3.9465 3.9465 5.3070
angles: 90.00 90.00 90.00
Space group P4/mmm (No. 123)
Unique sites:
Al 0.0000 0.0000 0.0000 x1
Te 0.5000 0.5000 0.5000 x1
S 0.5000 0.5000 0.0000 x1
N 0.0000 0.5000 0.5000 x2

Output
- density of states at the Fermi level (states/eV/cell) = 1.65
- E (eV per atom) = -4.33
- energy relative to the elements, uncorrected (eV/atom) = 1.21
- magnetization (μB/cell) = 0.00



Record 2
The following is a GGA-PBE calculation of an optimized crystal structure of ScPbIN2, from Alexandria.

abc: 4.4717 4.4717 5.8399
angles: 90.00 90.00 90.00
Space group P4/mmm (No. 123)
Unique sites:
Sc 0.0000 0.0000 0.0000 x1
Pb 0.5000 0.5000 0.5000 x1
I 0.5000 0.5000 0.0000 x1
N 0.0000 0.5000 0.5000 x2

Output
- density of states at the Fermi level (states/eV/cell) = 4.60
- E (eV per atom) = -4.30
- energy relative to the elements, uncorrected (eV/atom) = 1.35
- magnetization (μB/cell) = 0.00



Record 3
The following is a GGA-PBE calculation of an optimized crystal structure of Sc2MnMo, from Alexandria.

abc: 3.1856 4.5201 9.3969
angles: 90.00 90.00 90.00
Space group Immm (No. 71)
Unique sites:
Sc 0.0000 0.0000 0.2152 x4
Mn 0.0000 0.5000 0.5000 x2
Mo 0.0000 0.5000 0.0000 x2

Output
- density of states at the Fermi level (states/eV/cell) = 8.26
- E (eV per atom) = -7.91
- magnetization (μB/cell) = 0.00
- energy of formation (meV per atom) = 260.5



Record 4
The following is a GGA-PBE calculation of an optimized crystal structure of Pr2NdHg, from Alexandria.

abc: 3.7412 3.7412 33.0758
angles: 90.00 90.00 120.00
Space group R-3m (No. 166, hexagonal axes)
Unique sites:
Pr 0.0000 0.0000 0.2426 x6
Nd 0.0000 0.0000 0.0000 x3
Hg 0.0000 0.0000 0.5000 x3

Output
- density of states at the Fermi level (states/eV/cell) = 12.13
- E (eV per atom) = -3.81
- magnetization (μB/cell) = 0.00
- energy of formation (meV per atom) = -148.4



Record 5
The following is a GGA-PBE calculation of an optimized crystal structure of Na2SiBi, from Alexandria.

abc: 7.3424 7.3424 7.3424
angles: 90.00 90.00 90.00
Space group Fm-3m (No. 225)
Unique sites:
Na 0.2500 0.2500 0.2500 x8
Si 0.0000 0.0000 0.0000 x4
Bi 0.0000 0.0000 0.5000 x4

Output
- density of states at the Fermi level (states/eV/cell) = 9.97
- E (eV per atom) = -2.85
- energy relative to the elements, uncorrected (eV/atom) = 0.14
- magnetization (μB/cell) = 0.00



Record 6
The following is a GGA-PBE calculation of an optimized crystal structure of GeMo2Ru4, from Alexandria.

abc: 4.4015 4.4015 12.8943
angles: 90.00 90.00 90.00
Space group I4/mmm (No. 139)
Unique sites:
Ge 0.0000 0.0000 0.0000 x2
Mo 0.0000 0.0000 0.3592 x4
Ru 0.0000 0.0000 0.1883 x4
Ru 0.0000 0.5000 0.0000 x4

Output
- density of states at the Fermi level (states/eV/cell) = 13.87
- E (eV per atom) = -7.94
- magnetization (μB/cell) = 0.00
- energy of formation (meV per atom) = 1115.6



Record 7
The following is a GGA-PBE calculation of an optimized crystal structure of ThZnAgPd, from Alexandria.

abc: 6.9112 6.9112 6.9112
angles: 90.00 90.00 90.00
Space group F-43m (No. 216)
Unique sites:
Th 0.0000 0.0000 0.0000 x4
Zn 0.2500 0.2500 0.2500 x4
Ag 0.0000 0.0000 0.5000 x4
Pd 0.2500 0.2500 0.7500 x4

Output
- density of states at the Fermi level (states/eV/cell) = 12.34
- E (eV per atom) = -4.52
- magnetization (μB/cell) = 0.00
- energy of formation (meV per atom) = -334.0



Record 8
The following is a GGA-PBE calculation of an optimized crystal structure of MgRe2P, from Alexandria.

abc: 3.8045 3.8045 4.0318
angles: 90.00 90.00 90.00
Space group P4/mmm (No. 123)
Unique sites:
Mg 0.0000 0.0000 0.0000 x1
Re 0.0000 0.5000 0.5000 x2
P 0.5000 0.5000 0.0000 x1

Output
- density of states at the Fermi level (states/eV/cell) = 3.43
- E (eV per atom) = -7.48
- magnetization (μB/cell) = 0.00
- energy of formation (meV per atom) = 496.8



Record 9
The following is a GGA-PBE calculation of an optimized crystal structure of AlTlTc2, from Alexandria.

abc: 4.4833 4.4833 3.2296
angles: 90.00 90.00 90.00
Space group P4/mmm (No. 123)
Unique sites:
Al 0.0000 0.0000 0.0000 x1
Tl 0.5000 0.5000 0.0000 x1
Tc 0.0000 0.5000 0.5000 x2

Output
- density of states at the Fermi level (states/eV/cell) = 4.91
- E (eV per atom) = -6.29
- magnetization (μB/cell) = 0.00
- energy of formation (meV per atom) = 416.4



Record 10
The following is a GGA-PBE calculation of an optimized crystal structure of NaBeCoGe, from Alexandria.

abc: 8.1970 3.8181 3.9629
angles: 90.00 97.16 90.00
Space group Cm (No. 8)
Unique sites:
Na 0.0000 0.0000 0.0000 x2
Be 0.2907 0.0000 0.9148 x2
Co 0.3670 0.0000 0.4395 x2
Ge 0.1941 0.5000 0.4638 x2

Output
- density of states at the Fermi level (states/eV/cell) = 3.88
- E (eV per atom) = -3.88
- magnetization (μB/cell) = 0.00
- energy of formation (meV per atom) = 310.2



Record 11
The following is a GGA-PBE calculation of an optimized crystal structure of RbZnS2N, from Alexandria.

abc: 6.5097 6.5097 5.8589
angles: 90.00 90.00 90.00
Space group P4/mmm (No. 123)
Unique sites:
Rb 0.0000 0.0000 0.0000 x1
Zn 0.5000 0.5000 0.5000 x1
S 0.0000 0.5000 0.0000 x2
N 0.0000 0.0000 0.5000 x1

Output
- density of states at the Fermi level (states/eV/cell) = 6.98
- E (eV per atom) = -2.06
- energy relative to the elements, uncorrected (eV/atom) = 1.70
- magnetization (μB/cell) = 6.00



Record 12
The following is a GGA-PBE calculation of an optimized crystal structure of NiMoIr2, from Alexandria.

abc: 2.7119 3.8516 5.3662
angles: 90.00 90.00 90.00
Space group Pmm2 (No. 25)
Unique sites:
Ni 0.0000 0.0000 0.0000 x1
Mo 0.5000 0.5000 0.7560 x1
Ir 0.0000 0.0000 0.4991 x1
Ir 0.5000 0.5000 0.2255 x1

Output
- density of states at the Fermi level (states/eV/cell) = 5.25
- E (eV per atom) = -8.70
- magnetization (μB/cell) = 0.00
- energy of formation (meV per atom) = -119.7



Q: What is the formula in the tenth record?
A: NaBeCoGe



Q: Among the records above, which one has the lowest E?
A: NiMoIr2